# Ba2SbPt2, relaxed, DFT PBE
# - symmetry = I4/mmm, No. 139
# - energy (eV/atom) = -4.712
# - ΔE_f (raw) (kJ/mol of atoms) = -68
data_Ba2SbPt2
_chemical_formula_sum 'Ba2 Sb1 Pt2'
_space_group_name_H-M_alt 'P 1'
_space_group_IT_number 1
_space_group_name_Hall 'P 1'
_cell_length_a 5.982
_cell_length_b 5.982
_cell_length_c 5.982
_cell_angle_alpha 116.04
_cell_angle_beta 116.04
_cell_angle_gamma 97.01
loop_
_atom_site_label
_atom_site_fract_x
_atom_site_fract_y
_atom_site_fract_z
_atom_site_occupancy
Ba1 0.250 0.750 0.500 1
Ba2 0.750 0.250 0.500 1
Sb1 0.000 0.000 0.000 1
Pt1 0.338 0.338 0.000 1
Pt2 0.662 0.662 0.000 1


# BaSb2Pt, relaxed, DFT PBE
# - symmetry = I-4m2, No. 119
# - energy (eV/atom) = -4.256
# - ΔE_f (raw) (kJ/mol of atoms) = -20
data_BaSb2Pt
_chemical_formula_sum 'Ba1 Sb2 Pt1'
_space_group_name_H-M_alt 'P 1'
_space_group_IT_number 1
_space_group_name_Hall 'P 1'
_cell_length_a 5.827
_cell_length_b 5.827
_cell_length_c 5.827
_cell_angle_alpha 131.25
_cell_angle_beta 131.25
_cell_angle_gamma 71.42
loop_
_atom_site_label
_atom_site_fract_x
_atom_site_fract_y
_atom_site_fract_z
_atom_site_occupancy
Ba1 0.000 0.000 0.000 1
Sb1 0.500 0.500 0.000 1
Sb2 0.750 0.250 0.500 1
Pt1 0.250 0.750 0.500 1


# BaSbPt, relaxed, DFT PBE
# - symmetry = I4mm, No. 107
# - energy (eV/atom) = -4.567
# - ΔE_f (raw) (kJ/mol of atoms) = -52
data_BaSbPt
_chemical_formula_sum 'Ba1 Sb1 Pt1'
_space_group_name_H-M_alt 'P 1'
_space_group_IT_number 1
_space_group_name_Hall 'P 1'
_cell_length_a 6.512
_cell_length_b 6.512
_cell_length_c 6.512
_cell_angle_alpha 146.05
_cell_angle_beta 146.05
_cell_angle_gamma 48.77
loop_
_atom_site_label
_atom_site_fract_x
_atom_site_fract_y
_atom_site_fract_z
_atom_site_occupancy
Ba1 0.000 0.000 0.000 1
Sb1 0.720 0.720 0.000 1
Pt1 0.288 0.288 0.000 1


# BaSb2Pt, relaxed, DFT PBE
# - symmetry = Fm-3m, No. 225
# - energy (eV/atom) = -4.165
# - ΔE_f (raw) (kJ/mol of atoms) = -11
data_BaSb2Pt
_chemical_formula_sum 'Ba1 Sb2 Pt1'
_space_group_name_H-M_alt 'P 1'
_space_group_IT_number 1
_space_group_name_Hall 'P 1'
_cell_length_a 5.345
_cell_length_b 5.345
_cell_length_c 5.345
_cell_angle_alpha 60.00
_cell_angle_beta 60.00
_cell_angle_gamma 60.00
loop_
_atom_site_label
_atom_site_fract_x
_atom_site_fract_y
_atom_site_fract_z
_atom_site_occupancy
Ba1 0.000 0.000 0.000 1
Sb1 0.250 0.250 0.250 1
Sb2 0.750 0.750 0.750 1
Pt1 0.500 0.500 0.500 1


> The lowest energy belongs to which entry?

Ba2SbPt2


> What is the ΔE_f (raw) in the third record?

-52 kJ/mol of atoms